This record from Alexandria via LeMat-Bulk describes an optimized crystal structure of BaMn2Co. The functional is PBE-GGA.

abc: 5.1604 5.1604 8.4780
angles: 72.28 72.28 90.00
Last column: magnetic moment on the atom in μB.
Atoms (fractional coordinates):
Mn1 0.3750 0.1250 0.2500  3.18
Mn2 0.3750 0.6250 0.2500  3.20
Mn3 0.3750 0.6250 0.7500  3.22
Mn4 0.8750 0.6250 0.7500  3.24
Co1 0.5000 0.5000 0.0000  0.43
Co2 0.2500 0.7500 0.5000  0.42
Ba1 0.0000 0.0000 0.0000  -0.03
Ba2 0.7500 0.2500 0.5000  -0.03

**Space group**: I4_1/amd, No. 141
**Calculated volume**: 25.474 Å³ per atom
**ΔH_f (0 K)**: 0.770 eV per atom